Entry 1:
VASP calculation (PBE-GGA) on a relaxed structure of TbNd3Ho5.

As for the density of states at the Fermi level: 13.02 states/eV/f.u. As for the formation energy: 137 kJ/mol of formula units. The value obtained for the total energy is -161.61 eV/cell. As for the energy above the most stable polymorph in this dataset: 0 kJ/mol of formula units.

The space group is C2/c (No. 15) and the conventional cell measures 16.513, 6.726 and 11.418 Å, with angles of 90.00, 109.47 and 90.00 degrees. The distinct sites, in fractional coordinates, are Tb at (0.000, 0.227, 0.250), Nd at (0.000, 0.000, 0.000), Nd at (0.238, 0.374, 0.354), Ho at (0.000, 0.321, 0.750), Ho at (0.107, 0.497, 0.545) and Ho at (0.176, 0.122, 0.874).

=====

Entry 2:
VASP calculation (PBE-GGA) on a relaxed structure of LaMoSe2N.

As for the density of states at the Fermi level: 4.83 states/eV/f.u. The value obtained for the total energy is -27.33 eV/cell. As for the energy above the most stable polymorph in this dataset: 746 kJ/mol of formula units.

The space group is P4/mmm (No. 123) and the conventional cell measures 5.802, 5.802 and 4.111 Å, with angles of 90.00, 90.00 and 90.00 degrees. The distinct sites, in fractional coordinates, are La at (0.000, 0.000, 0.000), Mo at (0.500, 0.500, 0.500), Se at (0.000, 0.500, 0.000) and N at (0.000, 0.000, 0.500).